Record 1
Y2TaTc: optimized geometry, PBE.

Computed properties:
* energy above the most stable polymorph in this dataset: 0.478 eV/atom
* DOS(E_F): 10.9 states/eV per cell
* theoretical density: 8.8 g/cm3

abc: 3.453 5.137 9.768
angles: 90.00 90.00 90.00
Atoms (fractional coordinates):
Y: 0.000 0.000 0.226
Y: 0.000 0.000 0.774
Y: 0.500 0.500 0.226
Y: 0.500 0.500 0.774
Ta: 0.000 0.500 0.500
Ta: 0.500 0.000 0.500
Tc: 0.000 0.500 0.000
Tc: 0.500 0.000 0.000

=====

Record 2
Y2TaTc: optimized geometry, PBE.

Computed properties:
* energy above the most stable polymorph in this dataset: 0.491 eV/atom
* DOS(E_F): 11.6 states/eV per cell
* theoretical density: 8.8 g/cm3

abc: 4.167 4.167 9.904
angles: 90.00 90.00 90.00
Atoms (fractional coordinates):
Y: 0.000 0.500 0.250
Y: 0.000 0.500 0.750
Y: 0.500 0.000 0.250
Y: 0.500 0.000 0.750
Ta: 0.000 0.000 0.000
Ta: 0.500 0.500 0.500
Tc: 0.000 0.000 0.500
Tc: 0.500 0.500 0.000

=====

Record 3
Y2TaTc: optimized geometry, PBE.

Computed properties:
* energy above the most stable polymorph in this dataset: 0.523 eV/atom
* DOS(E_F): 12.2 states/eV per cell
* theoretical density: 8.5 g/cm3

abc: 3.280 3.280 28.563
angles: 90.00 90.00 120.00
Atoms (fractional coordinates):
Y: 0.000 0.000 0.241
Y: 0.000 0.000 0.759
Y: 0.333 0.667 0.426
Y: 0.333 0.667 0.908
Y: 0.667 0.333 0.092
Y: 0.667 0.333 0.574
Ta: 0.000 0.000 0.000
Ta: 0.333 0.667 0.667
Ta: 0.667 0.333 0.333
Tc: 0.000 0.000 0.500
Tc: 0.333 0.667 0.167
Tc: 0.667 0.333 0.833

=====

Record 4
Y2TaTc: optimized geometry, PBE.

Computed properties:
* energy above the most stable polymorph in this dataset: 0.264 eV/atom
* DOS(E_F): 14.9 states/eV per cell
* theoretical density: 8.0 g/cm3

abc: 3.342 3.342 29.436
angles: 90.00 90.00 120.00
Atoms (fractional coordinates):
Y: 0.000 0.000 0.000
Y: 0.000 0.000 0.222
Y: 0.333 0.667 0.667
Y: 0.333 0.667 0.889
Y: 0.667 0.333 0.333
Y: 0.667 0.333 0.556
Ta: 0.000 0.000 0.755
Ta: 0.333 0.667 0.422
Ta: 0.667 0.333 0.088
Tc: 0.000 0.000 0.480
Tc: 0.333 0.667 0.146
Tc: 0.667 0.333 0.813

=====

Record 5
Y2TaTc: optimized geometry, PBE.

Computed properties:
* energy above the most stable polymorph in this dataset: 0.384 eV/atom
* DOS(E_F): 13.4 states/eV per cell
* theoretical density: 8.9 g/cm3

abc: 4.926 4.926 7.005
angles: 90.00 90.00 90.00
Atoms (fractional coordinates):
Y: 0.000 0.000 0.000
Y: 0.000 0.500 0.250
Y: 0.500 0.000 0.750
Y: 0.500 0.500 0.500
Ta: 0.000 0.500 0.750
Ta: 0.500 0.000 0.250
Tc: 0.000 0.000 0.500
Tc: 0.500 0.500 0.000

=====

Record 6
YTaTc: optimized geometry, PBE.

Computed properties:
* energy above the most stable polymorph in this dataset: 0.230 eV/atom
* DOS(E_F): 11.7 states/eV per cell
* theoretical density: 10.1 g/cm3

abc: 3.404 5.122 13.931
angles: 90.00 90.00 90.00
Atoms (fractional coordinates):
Y: 0.000 0.000 0.000
Y: 0.000 0.500 0.500
Y: 0.500 0.000 0.500
Y: 0.500 0.500 0.000
Ta: 0.000 0.000 0.302
Ta: 0.000 0.500 0.802
Ta: 0.500 0.000 0.802
Ta: 0.500 0.500 0.302
Tc: 0.000 0.000 0.669
Tc: 0.000 0.500 0.169
Tc: 0.500 0.000 0.169
Tc: 0.500 0.500 0.669

=====

Record 7
Y2TaTc: optimized geometry, PBE.

Computed properties:
* energy above the most stable polymorph in this dataset: 0.851 eV/atom
* DOS(E_F): 25.9 states/eV per cell
* theoretical density: 8.0 g/cm3

abc: 8.156 8.156 5.698
angles: 90.00 90.00 90.00
Atoms (fractional coordinates):
Y: 0.199 0.750 0.125
Y: 0.250 0.199 0.875
Y: 0.250 0.301 0.375
Y: 0.301 0.750 0.625
Y: 0.699 0.250 0.625
Y: 0.750 0.699 0.375
Y: 0.750 0.801 0.875
Y: 0.801 0.250 0.125
Ta: 0.000 0.000 0.500
Ta: 0.000 0.500 0.750
Ta: 0.500 0.000 0.250
Ta: 0.500 0.500 0.000
Tc: 0.000 0.000 0.000
Tc: 0.000 0.500 0.250
Tc: 0.500 0.000 0.750
Tc: 0.500 0.500 0.500

=====

Record 8
YTaTc: optimized geometry, PBE.

Computed properties:
* energy above the most stable polymorph in this dataset: 0.204 eV/atom
* DOS(E_F): 2.3 states/eV per cell
* theoretical density: 10.3 g/cm3

abc: 4.590 4.590 3.250
angles: 90.00 90.00 120.00
Atoms (fractional coordinates):
Y: 0.000 0.000 0.000
Ta: 0.667 0.333 0.422
Tc: 0.333 0.667 0.652

=====

| no. | energy of formation (eV per atom) |
| --- | --- |
| 1 | 0.44 |
| 2 | 0.45 |
| 3 | 0.49 |
| 4 | 0.23 |
| 5 | 0.35 |
| 6 | 0.19 |
| 7 | 0.81 |
| 8 | 0.17 |